A plane-wave DFT calculation with PBE was carried out for crystalline CoReAs2 at its relaxed geometry.

Values from the calculation:
Energy of formation from the pure elements: 2.16 eV/f.u.
Offset from the most stable computed form: 460.8 meV per atom

Cell lengths 3.1205, 3.9027, 4.9018 Å; angles 90.00, 90.00, 90.00 degrees
Space group Pmmm (No. 47)
Asymmetric unit:
Co 0.0000 0.0000 0.0000 x1
Re 0.5000 0.0000 0.5000 x1
As 0.0000 0.5000 0.5000 x1
As 0.5000 0.5000 0.0000 x1


A plane-wave DFT calculation with PBE was carried out for crystalline TbBe2Ir at its relaxed geometry.

Values from the calculation:
Energy of formation from the pure elements: -2.06 eV/f.u.
Offset from the most stable computed form: 0.0 meV per atom

Cell lengths 3.8854, 3.8854, 14.4744 Å; angles 90.00, 90.00, 120.00 degrees
Space group R-3m (No. 166, hexagonal axes)
Asymmetric unit:
Tb 0.0000 0.0000 0.0000 x3
Be 0.0000 0.0000 0.1962 x6
Ir 0.0000 0.0000 0.5000 x3


A plane-wave DFT calculation with PBE was carried out for crystalline La3AgBi at its relaxed geometry.

Values from the calculation:
Energy of formation from the pure elements: -0.31 eV/f.u.
Offset from the most stable computed form: 0.0 meV per atom

Cell lengths 5.7785, 5.7785, 5.7785 Å; angles 90.00, 90.00, 90.00 degrees
Space group Pm-3m (No. 221)
Asymmetric unit:
La 0.0000 0.0000 0.5000 x3
Ag 0.0000 0.0000 0.0000 x1
Bi 0.5000 0.5000 0.5000 x1


A plane-wave DFT calculation with PBE was carried out for crystalline PmDyTmPb at its relaxed geometry.

Values from the calculation:
Energy of formation from the pure elements: -0.28 eV/f.u.

Cell lengths 7.7420, 7.7420, 7.7420 Å; angles 90.00, 90.00, 90.00 degrees
Space group F-43m (No. 216)
Asymmetric unit:
Pm 0.0000 0.0000 0.0000 x4
Dy 0.2500 0.2500 0.7500 x4
Tm 0.2500 0.2500 0.2500 x4
Pb 0.0000 0.0000 0.5000 x4


A plane-wave DFT calculation with PBE was carried out for crystalline Ti2InCBr at its relaxed geometry.

Values from the calculation:
E_form (uncorrected): 1155 kJ/mol of formula units

Cell lengths 5.3045, 5.3045, 5.3797 Å; angles 90.00, 90.00, 90.00 degrees
Space group P4/mmm (No. 123)
Asymmetric unit:
Ti 0.0000 0.5000 0.0000 x2
In 0.0000 0.0000 0.0000 x1
C 0.5000 0.5000 0.5000 x1
Br 0.0000 0.0000 0.5000 x1


A plane-wave DFT calculation with PBE was carried out for crystalline Pr4Tl2Br5 at its relaxed geometry.

Values from the calculation:
E_form (uncorrected): -1164 kJ/mol of formula units

Cell lengths 24.4521, 3.8613, 10.2993 Å; angles 90.00, 101.94, 90.00 degrees
Space group C2/m (No. 12)
Asymmetric unit:
Pr 0.0228 0.0000 0.2422 x4
Pr 0.1578 0.5000 0.4426 x4
Tl 0.0642 0.0000 0.5625 x4
Br 0.0000 0.5000 0.0000 x2
Br 0.1417 0.0000 0.2106 x4
Br 0.2254 0.0000 0.6391 x4


Theoretical density (computed, g cm⁻³): 10.99, 9.72, 6.31, 9.79, 3.32, 4.79
Density of states at the Fermi level (computed, states/eV/atom): 1.050, 0.657, 1.244, 1.832, 1.819, 0.630